{"formula": "CaYZr2", "functional": "PBE-GGA", "state": "relaxed", "polymorph_energy_mev_per_atom": 107, "n_ef_per_ev_fu": 6.1, "lattice_angstrom": [[-0.602, 4.543, -3.781], [0.430, 1.965, -5.590], [-5.630, -1.046, -1.720]], "species": ["Y", "Ca", "Zr", "Zr"], "fractional_positions": [[0.250, 0.250, 0.250], [0.750, 0.750, 0.750], [0.996, 0.996, 0.028], [0.504, 0.504, 0.472]]}